1.
# Sr3Mg4Cd8

A relaxed structure of Sr3Mg4Cd8 (PBE, Alexandria via LeMat-Bulk).

E_tot	-176.725	eV per cell
formation enthalpy at 0 K	-322.8	kJ/mol of formula units
magnetization	0.000	μB/cell

Unit cell a=14.6741 b=14.6741 c=14.6741 alpha=90.00 beta=90.00 gamma=90.00
Closest atoms and distances in Å follow each position.
Space group Fm-3m (No. 225)
Inequivalent atoms, fractional coordinates:
Sr (0.0000, 0.0000, 0.2285)  5 Mg 3.35-3.68, 8 Cd 3.37-3.56
Mg (0.0000, 0.0000, 0.0000)  6 Sr 3.35
Mg (0.0000, 0.0000, 0.5000)  8 Cd 3.19
Mg (0.0000, 0.2500, 0.2500)  8 Cd 3.00-3.17
Cd (0.1254, 0.1254, 0.3746)  4 Mg 3.17-3.19, 3 Cd 3.18, 3 Sr 3.37
Cd (0.1658, 0.1658, 0.1658)  3 Mg 3.00, 3 Cd 3.18


2.
# Rb2SrMgMn

A relaxed structure of Rb2SrMgMn (PBE, Alexandria via LeMat-Bulk).

E_tot	-10.521	eV per cell
formation enthalpy at 0 K	372.4	kJ/mol of formula units
magnetization	3.965	μB/cell

Unit cell a=6.7245 b=6.7245 c=6.3390 alpha=90.00 beta=90.00 gamma=90.00
Closest atoms and distances in Å follow each position.
Space group P4/mmm (No. 123)
Inequivalent atoms, fractional coordinates:
Rb (0.0000, 0.5000, 0.0000)  2 Mn 3.36
Sr (0.0000, 0.0000, 0.5000)  2 Mn 3.17
Mg (0.5000, 0.5000, 0.5000)  8 Rb 4.62, 4 Sr 4.75
Mn (0.0000, 0.0000, 0.0000)  2 Sr 3.17, 4 Rb 3.36